TbPmDy2Tm | GGA-PBE | optimized geometry

a b c (Å): 7.087 7.087 7.183
angles (deg): 90.00 90.00 107.51
Fractional coordinates of all 10 atoms:
1 Tb 0.003 0.997 0.750
2 Tb 0.997 0.003 0.250
3 Pm 0.273 0.727 0.750
4 Pm 0.727 0.273 0.250
5 Dy 0.310 0.310 0.000
6 Dy 0.310 0.310 0.500
7 Dy 0.690 0.690 0.000
8 Dy 0.690 0.690 0.500
9 Tm 0.277 0.723 0.250
10 Tm 0.723 0.277 0.750

Summary:
ΔE_f = 0.399 eV per atom
SG = No. 63